(i)
## ScSbBr2 (PBE)

Data for crystalline ScSbBr2 at its relaxed geometry.

a = 3.3599 Å, b = 5.6333 Å, c = 14.3335 Å
α = 90.00°, β = 90.00°, γ = 90.00°
Closest atoms and distances in Å follow each position.
Space group Immm (No. 71)
One atom of each set of equivalent atoms:
Sc1 0.0000 0.0000 0.0000 [2 per cell]  4 Br 2.70
Sb1 0.0000 0.0000 0.5000 [2 per cell]  4 Sc 3.28, 2 Sb 3.36, 4 Br 3.52
Br1 0.0000 0.5000 0.3525 [4 per cell]  2 Sc 2.70

Values from the calculation:
Density of states at the Fermi level, states/eV per atom: 0.581


(ii)
## ScSbBr2 (PBE)

Data for crystalline ScSbBr2 at its relaxed geometry.

a = 4.4559 Å, b = 3.8361 Å, c = 7.6543 Å
α = 90.00°, β = 96.17°, γ = 90.00°
Closest atoms and distances in Å follow each position.
Space group Pm (No. 6)
One atom of each set of equivalent atoms:
Sc1 0.0000 0.0000 0.0000 [1 per cell]  3 Br 2.62-2.82
Sb1 0.5080 0.5000 0.0608 [1 per cell]  3 Br 2.90-3.22, 4 Sc 2.97-2.99
Br1 0.2107 0.0000 0.3329 [1 per cell]  1 Sc 2.62
Br2 0.8058 0.5000 0.7414 [1 per cell]  2 Sc 2.82, 1 Sb 2.90

Values from the calculation:
Density of states at the Fermi level, states/eV per atom: 0.100


Which of them is the most stable, and which is the least stable? (ii) and (i), in that order.


(i)
## ScSbBr (PBE)

Data for crystalline ScSbBr at its relaxed geometry.

a = 7.2202 Å, b = 7.2202 Å, c = 7.2202 Å
α = 90.00°, β = 90.00°, γ = 90.00°
Closest atoms and distances in Å follow each position.
Space group F-43m (No. 216)
One atom of each set of equivalent atoms:
Sc1 0.0000 0.0000 0.0000 [4 per cell]  4 Sb 3.13
Sb1 0.2500 0.2500 0.7500 [4 per cell]  4 Br 3.13, 4 Sc 3.13
Br1 0.0000 0.0000 0.5000 [4 per cell]  4 Sb 3.13

Values from the calculation:
Density of states at the Fermi level, states/eV per atom: 2.057


(ii)
## ScSbBr (PBE)

Data for crystalline ScSbBr at its relaxed geometry.

a = 6.9862 Å, b = 6.9862 Å, c = 6.9862 Å
α = 90.00°, β = 90.00°, γ = 90.00°
Closest atoms and distances in Å follow each position.
Space group F-43m (No. 216)
One atom of each set of equivalent atoms:
Sc1 0.0000 0.0000 0.0000 [4 per cell]  4 Br 3.03, 4 Sb 3.03
Sb1 0.2500 0.2500 0.7500 [4 per cell]  4 Sc 3.03
Br1 0.2500 0.2500 0.2500 [4 per cell]  4 Sc 3.03

Values from the calculation:
Density of states at the Fermi level, states/eV per atom: 1.521


(iii)
## ScSbBr (PBE)

Data for crystalline ScSbBr at its relaxed geometry.

a = 3.6519 Å, b = 3.6519 Å, c = 7.6901 Å
α = 90.00°, β = 90.00°, γ = 120.00°
Closest atoms and distances in Å follow each position.
Space group P3m1 (No. 156)
One atom of each set of equivalent atoms:
Sc1 0.0000 0.0000 0.0000 [1 per cell]  3 Br 2.72, 3 Sb 2.99
Sb1 0.6667 0.3333 0.7251 [1 per cell]  3 Sc 2.99
Br1 0.3333 0.6667 0.2239 [1 per cell]  3 Sc 2.72

Values from the calculation:
Density of states at the Fermi level, states/eV per atom: 0.516


(iv)
## ScSbBr (PBE)

Data for crystalline ScSbBr at its relaxed geometry.

a = 4.6893 Å, b = 4.6997 Å, c = 14.9369 Å
α = 90.00°, β = 90.00°, γ = 90.00°
Closest atoms and distances in Å follow each position.
Space group Fmm2 (No. 42)
One atom of each set of equivalent atoms:
Sc1 0.0000 0.0000 0.0000 [4 per cell]  4 Br 2.87, 4 Sb 3.17
Sb1 0.0000 0.0000 0.6425 [4 per cell]  4 Sc 3.17, 4 Sb 3.32
Br1 0.0000 0.0000 0.3895 [4 per cell]  4 Sc 2.87

Values from the calculation:
Density of states at the Fermi level, states/eV per atom: 0.627


Which of them is the most stable, and which is the least stable? (iii) and (i), in that order.


(i)
## ScSb2Br (PBE)

Data for crystalline ScSb2Br at its relaxed geometry.

a = 3.9714 Å, b = 5.4773 Å, c = 13.6562 Å
α = 90.00°, β = 90.00°, γ = 90.00°
Closest atoms and distances in Å follow each position.
Space group Imm2 (No. 44)
One atom of each set of equivalent atoms:
Sc1 0.0000 0.0000 0.0000 [2 per cell]  2 Br 2.71, 2 Sb 2.84
Sb1 0.0000 0.0000 0.4045 [2 per cell]  2 Sb 2.87
Sb2 0.0000 0.5000 0.0563 [2 per cell]  2 Sc 2.84, 2 Sb 2.87
Br1 0.0000 0.5000 0.6355 [2 per cell]  2 Sc 2.71


(ii)
## ScSb2Br (PBE)

Data for crystalline ScSb2Br at its relaxed geometry.

a = 3.6320 Å, b = 3.6320 Å, c = 8.5238 Å
α = 90.00°, β = 90.00°, γ = 90.00°
Closest atoms and distances in Å follow each position.
Space group P4mm (No. 99)
One atom of each set of equivalent atoms:
Sc1 0.0000 0.0000 0.0000 [1 per cell]  4 Br 3.06, 5 Sb 3.06-3.33
Sb1 0.0000 0.0000 0.6089 [1 per cell]  4 Sb 3.06, 1 Sc 3.33
Sb2 0.5000 0.5000 0.8041 [1 per cell]  4 Sb 3.06, 4 Sc 3.06, 1 Br 3.33
Br1 0.5000 0.5000 0.1947 [1 per cell]  4 Sc 3.06, 1 Sb 3.33

Values from the calculation:
Density of states at the Fermi level, states/eV per atom: 0.936


(iii)
## ScSb2Br (PBE)

Data for crystalline ScSb2Br at its relaxed geometry.

a = 7.4575 Å, b = 7.4575 Å, c = 7.4575 Å
α = 90.00°, β = 90.00°, γ = 90.00°
Closest atoms and distances in Å follow each position.
Space group Fm-3m (No. 225)
One atom of each set of equivalent atoms:
Sc1 0.0000 0.0000 0.0000 [4 per cell]  8 Sb 3.23
Sb1 0.2500 0.2500 0.2500 [8 per cell]  4 Br 3.23, 4 Sc 3.23
Br1 0.0000 0.0000 0.5000 [4 per cell]  8 Sb 3.23

Values from the calculation:
Density of states at the Fermi level, states/eV per atom: 1.068


(iv)
## ScSb2Br (PBE)

Data for crystalline ScSb2Br at its relaxed geometry.

a = 7.4223 Å, b = 7.4223 Å, c = 7.4223 Å
α = 90.00°, β = 90.00°, γ = 90.00°
Closest atoms and distances in Å follow each position.
Space group F-43m (No. 216)
One atom of each set of equivalent atoms:
Sc1 0.0000 0.0000 0.0000 [4 per cell]  4 Sb 3.21, 4 Br 3.21
Sb1 0.0000 0.0000 0.5000 [4 per cell]  4 Br 3.21, 4 Sb 3.21
Sb2 0.2500 0.2500 0.2500 [4 per cell]  4 Sb 3.21, 4 Sc 3.21
Br1 0.2500 0.2500 0.7500 [4 per cell]  4 Sb 3.21, 4 Sc 3.21

Values from the calculation:
Density of states at the Fermi level, states/eV per atom: 1.421


Which of them is the most stable, and which is the least stable? (i) and (iii), in that order.


(i)
## ScSb2Br (PBE)

Data for crystalline ScSb2Br at its relaxed geometry.

a = 3.6638 Å, b = 3.6638 Å, c = 29.6607 Å
α = 90.00°, β = 90.00°, γ = 120.00°
Closest atoms and distances in Å follow each position.
Space group R3m (No. 160, hexagonal axes)
One atom of each set of equivalent atoms:
Sc1 0.0000 0.0000 0.0000 [3 per cell]  3 Br 2.72, 3 Sb 3.02
Sb1 0.0000 0.0000 0.2608 [3 per cell]  3 Sc 3.02, 3 Sb 3.06
Sb2 0.0000 0.0000 0.5198 [3 per cell]  3 Sb 3.06
Br1 0.0000 0.0000 0.7244 [3 per cell]  3 Sc 2.72

Values from the calculation:
Density of states at the Fermi level, states/eV per atom: 0.823


(ii)
## ScSb2Br (PBE)

Data for crystalline ScSb2Br at its relaxed geometry.

a = 3.8255 Å, b = 3.8255 Å, c = 7.3014 Å
α = 90.00°, β = 90.00°, γ = 90.00°
Closest atoms and distances in Å follow each position.
Space group P4/mmm (No. 123)
One atom of each set of equivalent atoms:
Sc1 0.0000 0.0000 0.0000 [1 per cell]  8 Sb 3.07
Sb1 0.5000 0.5000 0.1993 [2 per cell]  1 Sb 2.91, 4 Sc 3.07
Br1 0.0000 0.0000 0.5000 [1 per cell]  8 Sb 3.48, 2 Sc 3.65, 4 Br 3.83

Values from the calculation:
Density of states at the Fermi level, states/eV per atom: 0.505


(iii)
## ScSb2Br (PBE)

Data for crystalline ScSb2Br at its relaxed geometry.

a = 12.9056 Å, b = 3.4253 Å, c = 5.0083 Å
α = 90.00°, β = 105.69°, γ = 90.00°
Closest atoms and distances in Å follow each position.
Space group C2/m (No. 12)
One atom of each set of equivalent atoms:
Sc1 0.0000 0.0000 0.0000 [2 per cell]  4 Br 3.03, 4 Sb 3.14
Sb1 0.2104 0.5000 0.2010 [4 per cell]  4 Sb 3.02-3.36, 2 Sc 3.14
Br1 0.0000 0.5000 0.5000 [2 per cell]  4 Sc 3.03

Values from the calculation:
Density of states at the Fermi level, states/eV per atom: 0.486


Which of them is the most stable, and which is the least stable? (i) and (iii), in that order.


(i)
## ScSb2Br (PBE)

Data for crystalline ScSb2Br at its relaxed geometry.

a = 5.5263 Å, b = 5.5263 Å, c = 3.3146 Å
α = 90.00°, β = 90.00°, γ = 90.00°
Closest atoms and distances in Å follow each position.
Space group P4/mmm (No. 123)
One atom of each set of equivalent atoms:
Sc1 0.0000 0.0000 0.0000 [1 per cell]  8 Sb 3.22, 2 Sc 3.31
Sb1 0.0000 0.5000 0.5000 [2 per cell]  4 Br 3.22, 4 Sc 3.22, 2 Sb 3.31
Br1 0.5000 0.5000 0.0000 [1 per cell]  8 Sb 3.22, 2 Br 3.31

Values from the calculation:
Density of states at the Fermi level, states/eV per atom: 0.705


(ii)
## ScSb2Br (PBE)

Data for crystalline ScSb2Br at its relaxed geometry.

a = 4.2990 Å, b = 4.2990 Å, c = 11.0204 Å
α = 90.00°, β = 90.00°, γ = 90.00°
Closest atoms and distances in Å follow each position.
Space group I4/mmm (No. 139)
One atom of each set of equivalent atoms:
Sc1 0.0000 0.0000 0.0000 [2 per cell]  4 Br 3.04
Sb1 0.0000 0.5000 0.2500 [4 per cell]  4 Sb 3.04
Br1 0.0000 0.0000 0.5000 [2 per cell]  4 Sc 3.04

Values from the calculation:
Density of states at the Fermi level, states/eV per atom: 0.283


Which of them is the most stable, and which is the least stable? (ii) and (i), in that order.


(i)
## ScSb2Br (PBE)

Data for crystalline ScSb2Br at its relaxed geometry.

a = 3.3785 Å, b = 4.9533 Å, c = 12.7089 Å
α = 90.00°, β = 90.00°, γ = 90.00°
Closest atoms and distances in Å follow each position.
Space group Immm (No. 71)
One atom of each set of equivalent atoms:
Sc1 0.0000 0.0000 0.0000 [2 per cell]  4 Br 3.00, 4 Sb 3.17
Sb1 0.0000 0.5000 0.2892 [4 per cell]  6 Sb 3.16-3.38, 2 Sc 3.17
Br1 0.0000 0.0000 0.5000 [2 per cell]  4 Sc 3.00

Values from the calculation:
Density of states at the Fermi level, states/eV per atom: 0.550


(ii)
## ScSb2Br (PBE)

Data for crystalline ScSb2Br at its relaxed geometry.

a = 3.9471 Å, b = 3.8062 Å, c = 8.6848 Å
α = 90.00°, β = 103.06°, γ = 90.00°
Closest atoms and distances in Å follow each position.
Space group Pm (No. 6)
One atom of each set of equivalent atoms:
Sc1 0.0000 0.0000 0.0000 [1 per cell]  2 Br 2.68, 1 Sb 2.93
Sb1 0.1726 0.0000 0.3466 [1 per cell]  1 Sc 2.93, 4 Sb 3.11
Sb2 0.5861 0.5000 0.1735 [1 per cell]  4 Sb 3.11, 4 Sc 3.11
Br1 0.8889 0.5000 0.7766 [1 per cell]  2 Sc 2.68

Values from the calculation:
Density of states at the Fermi level, states/eV per atom: 0.570


Which of them is the most stable, and which is the least stable? (ii) and (i), in that order.


(i)
## ScSb2Br (PBE)

Data for crystalline ScSb2Br at its relaxed geometry.

a = 4.3839 Å, b = 4.3839 Å, c = 23.1003 Å
α = 90.00°, β = 90.00°, γ = 90.00°
Closest atoms and distances in Å follow each position.
Space group I-42d (No. 122)
One atom of each set of equivalent atoms:
Sc1 0.0000 0.0000 0.0000 [4 per cell]  4 Br 3.10, 4 Sb 3.22
Sb1 0.2092 0.2500 0.1250 [8 per cell]  2 Sb 2.86
Br1 0.0000 0.0000 0.5000 [4 per cell]  4 Sc 3.10, 4 Sb 3.34

Values from the calculation:
Density of states at the Fermi level, states/eV per atom: 0.435


(ii)
## ScSb2Br (PBE)

Data for crystalline ScSb2Br at its relaxed geometry.

a = 4.2462 Å, b = 4.1867 Å, c = 5.8115 Å
α = 90.00°, β = 90.06°, γ = 90.00°
Closest atoms and distances in Å follow each position.
Space group P2/m (No. 10)
One atom of each set of equivalent atoms:
Sc1 0.0000 0.0000 0.0000 [1 per cell]  4 Br 2.98
Sb1 0.0000 0.5000 0.5000 [1 per cell]  4 Sb 2.98
Sb2 0.5000 0.0000 0.5000 [1 per cell]  4 Sb 2.98
Br1 0.5000 0.5000 0.0000 [1 per cell]  4 Sc 2.98

Values from the calculation:
Density of states at the Fermi level, states/eV per atom: 0.399


(iii)
## ScSb2Br (PBE)

Data for crystalline ScSb2Br at its relaxed geometry.

a = 5.8449 Å, b = 10.4576 Å, c = 3.3815 Å
α = 90.00°, β = 90.00°, γ = 90.00°
Closest atoms and distances in Å follow each position.
Space group Cmmm (No. 65)
One atom of each set of equivalent atoms:
Sc1 0.0000 0.0000 0.0000 [2 per cell]  2 Br 2.92
Sb1 0.2500 0.2500 0.5000 [4 per cell]  2 Sb 2.92
Br1 0.0000 0.5000 0.0000 [2 per cell]  2 Sc 2.92

Values from the calculation:
Density of states at the Fermi level, states/eV per atom: 0.737


(iv)
## ScSb2Br (PBE)

Data for crystalline ScSb2Br at its relaxed geometry.

a = 16.5279 Å, b = 3.4603 Å, c = 4.7314 Å
α = 90.00°, β = 102.28°, γ = 90.00°
Closest atoms and distances in Å follow each position.
Space group Cm (No. 8)
One atom of each set of equivalent atoms:
Sc1 0.0000 0.0000 0.0000 [2 per cell]  2 Br 2.67
Sb1 0.0529 0.5000 0.5465 [2 per cell]  1 Sb 2.77, 4 Sc 3.03-3.08
Sb2 0.1741 0.5000 0.2222 [2 per cell]  1 Sb 2.77
Br1 0.3745 0.0000 0.8866 [2 per cell]  2 Sc 2.67

Values from the calculation:
Density of states at the Fermi level, states/eV per atom: 0.220


Which of them is the most stable, and which is the least stable? (iv) and (iii), in that order.


(i)
## ScSbBr3 (PBE)

Data for crystalline ScSbBr3 at its relaxed geometry.

a = 5.7026 Å, b = 5.7026 Å, c = 5.7026 Å
α = 90.00°, β = 90.00°, γ = 90.00°
Closest atoms and distances in Å follow each position.
Space group Pm-3m (No. 221)
One atom of each set of equivalent atoms:
Sc1 0.0000 0.0000 0.0000 [1 per cell]  12 Br 4.03
Sb1 0.5000 0.5000 0.5000 [1 per cell]  6 Br 2.85
Br1 0.0000 0.5000 0.5000 [3 per cell]  2 Sb 2.85

Values from the calculation:
Density of states at the Fermi level, states/eV per atom: 3.607


(ii)
## ScSbBr3 (PBE)

Data for crystalline ScSbBr3 at its relaxed geometry.

a = 5.4107 Å, b = 5.4107 Å, c = 5.4107 Å
α = 90.00°, β = 90.00°, γ = 90.00°
Closest atoms and distances in Å follow each position.
Space group Pm-3m (No. 221)
One atom of each set of equivalent atoms:
Sc1 0.0000 0.0000 0.0000 [1 per cell]  6 Br 2.71
Sb1 0.5000 0.5000 0.5000 [1 per cell]  12 Br 3.83
Br1 0.0000 0.0000 0.5000 [3 per cell]  2 Sc 2.71

Values from the calculation:
Density of states at the Fermi level, states/eV per atom: 0.399


Which of them is the most stable, and which is the least stable? (ii) and (i), in that order.